1.
Material: Tb5Tl4Au
Method: DFT, GGA-PBE
State: relaxed

The structure belongs to space group P4/mmm (No. 123); the cell edges are 3.620, 3.620 and 20.282 Å and the angles 90.00°, 90.00° and 90.00°. The inequivalent atoms are Tb at (0.000, 0.000, 0.000), Tb at (0.000, 0.000, 0.206), Tb at (0.000, 0.000, 0.413), Tl at (0.500, 0.500, 0.103), Tl at (0.500, 0.500, 0.309) and Au at (0.500, 0.500, 0.500).

The total energy comes out at -40.39 eV/cell. The calculation puts the volume at 266 Å³/f.u.

=====

2.
Material: SmThAg
Method: DFT, GGA-PBE
State: relaxed

The structure belongs to space group F-43m (No. 216); the cell edges are 7.208, 7.208 and 7.208 Å and the angles 90.00°, 90.00° and 90.00°. The inequivalent atoms are Sm at (0.000, 0.000, 0.000), Th at (0.000, 0.000, 0.500) and Ag at (0.250, 0.250, 0.250).

Its calculated formation energy is 0.244 eV per atom. The value obtained for the energy relative to the lowest polymorph listed for this composition is 0 meV/atom. The calculation puts the volume at 94 Å³/f.u.

=====

3.
Material: TmZrCdC
Method: DFT, GGA-PBE
State: relaxed

The structure belongs to space group P-6m2 (No. 187); the cell edges are 3.4112, 3.4112 and 15.7455 Å and the angles 90.00°, 90.00° and 120.00°. The inequivalent atoms are Tm at (0.0000, 0.0000, 0.1704), Zr at (0.6667, 0.3333, 0.3358), Cd at (0.0000, 0.0000, 0.5000), Cd at (0.6667, 0.3333, 0.0000) and C at (0.3333, 0.6667, 0.2618).

The value obtained for the energy relative to the lowest polymorph listed for this composition is 1 meV/atom. The calculation puts the volume at 79 Å³/f.u.

=====

4.
Material: PuCdAg2Se3S
Method: DFT, GGA-PBE
State: relaxed

The structure belongs to space group Cm (No. 8); the cell edges are 8.653, 8.732 and 7.473 Å and the angles 90.00°, 125.08° and 90.00°. The inequivalent atoms are Pu at (0.000, 0.000, 0.000), Cd at (0.490, 0.000, 0.003), Ag at (0.003, 0.238, 0.520), Se at (0.110, 0.500, 0.745), Se at (0.127, 0.256, 0.266) and S at (0.129, 0.000, 0.758).

The total energy comes out at -78.82 eV/cell. The calculation puts the volume at 231 Å³/f.u.